First-principles (GGA-PBE) data for crystalline Ac3In2Sn2 at its relaxed geometry, as listed in Alexandria via LeMat-Bulk.

Properties
V	34.11	Å³ per atom
space group	No. 12
E_tot	-4.265	eV/atom
N(E_F)	4.766	states/eV/cell

Cell: 4.9394 6.6374 8.4209 Å, 109.70 90.00 111.84°
Closest atoms and distances in Å follow each position.
Fractional positions:
1 Ac 0.3268 0.6537 0.3729  5 Sn 3.44-3.70, 3 In 3.47-3.52
2 Ac 0.6732 0.3463 0.6271  5 Sn 3.44-3.70, 3 In 3.47-3.52
3 Ac 0.5000 0.0000 0.0000  6 In 3.58-3.66, 4 Sn 3.65
4 In 0.8106 0.6212 0.0672  2 In 2.90, 1 Sn 2.90
5 In 0.1894 0.3788 0.9328  2 In 2.90, 1 Sn 2.90
6 Sn 0.9607 0.9213 0.6645  1 In 2.90
7 Sn 0.0393 0.0787 0.3355  1 In 2.90